1.
Material: ScCd2Ni
Method: DFT, PBEsol
State: optimized geometry

As for the total energy: -16.12 eV per formula unit. The formation energy comes out at -0.2414 eV/atom. As for the density of states at the Fermi level: 1.877 states/eV per cell.

The space group is P4mm (No. 99) and the conventional cell measures 3.1659, 3.1659 and 7.1127 Å, with angles of 90.00, 90.00 and 90.00 degrees. The asymmetric unit holds Sc at (0.0000, 0.0000, 0.0000), Cd at (0.0000, 0.0000, 0.5832), Cd at (0.5000, 0.5000, 0.2978) and Ni at (0.5000, 0.5000, 0.8091).

---

2.
Material: Cd2NiSe
Method: DFT, PBEsol
State: optimized geometry

As for the total energy: -12.18 eV per formula unit. As for the density of states at the Fermi level: 1.151 states/eV per cell.

The space group is P4/mmm (No. 123) and the conventional cell measures 3.5329, 3.5329 and 5.6251 Å, with angles of 90.00, 90.00 and 90.00 degrees. The asymmetric unit holds Cd at (0.0000, 0.0000, 0.2365), Ni at (0.5000, 0.5000, 0.0000) and Se at (0.5000, 0.5000, 0.5000).

---

3.
Material: CdNiSe2
Method: DFT, PBEsol
State: optimized geometry

As for the total energy: -16.07 eV per formula unit. As for the density of states at the Fermi level: 1.215 states/eV per cell.

The space group is Cm (No. 8) and the conventional cell measures 11.9241, 3.5037 and 4.1877 Å, with angles of 90.00, 109.56 and 90.00 degrees. The asymmetric unit holds Cd at (0.0000, 0.0000, 0.0000), Ni at (0.2305, 0.0000, 0.0163), Se at (0.1198, 0.5000, 0.7005) and Se at (0.3441, 0.5000, 0.3096).